Entry 1:
# Mg2CdCo | Alexandria | PBE | optimized geometry
# calculated formation energy: 46 kJ/mol of formula units
# volume: 139 Å³ per cell
# calculated density: 5.2 g/cm3
# spin magnetization: 0.1226 μB/atom
# raw total energy: -2.684 eV/atom
data_Mg2CdCo
_space_group_name_H-M_alt 'C 1 2/m 1'
_space_group_IT_number 12
_space_group_name_Hall '-C 2y'
_cell_length_a 10.178
_cell_length_b 3.323
_cell_length_c 4.602
_cell_angle_alpha 90.00
_cell_angle_beta 116.40
_cell_angle_gamma 90.00
loop_
_atom_site_label
_atom_site_fract_x
_atom_site_fract_y
_atom_site_fract_z
Mg1 0.222 0.000 0.221
Cd1 0.000 0.000 0.500
Co1 0.000 0.500 0.000


Entry 2:
# CoSn2Os2 | Alexandria | PBE | optimized geometry
# calculated formation energy: 215 kJ/mol of formula units
# volume: 175 Å³ per cell
# calculated density: 12.8 g/cm3
# spin magnetization: 0.2892 μB/atom
# raw total energy: -7.070 eV/atom
# distance to the lowest polymorph of the same formula: 0 meV per atom
data_CoSn2Os2
_space_group_name_H-M_alt 'P 4/m b m'
_space_group_IT_number 127
_space_group_name_Hall '-P 4 2ab'
_cell_length_a 6.522
_cell_length_b 6.522
_cell_length_c 4.118
_cell_angle_alpha 90.00
_cell_angle_beta 90.00
_cell_angle_gamma 90.00
loop_
_atom_site_label
_atom_site_fract_x
_atom_site_fract_y
_atom_site_fract_z
Co1 0.000 0.000 0.000
Sn1 0.173 0.327 0.500
Os1 0.135 0.635 0.000


Entry 3:
# PaCdAg | Alexandria | PBE | optimized geometry
# calculated formation energy: 29 kJ/mol of formula units
# volume: 131 Å³ per cell
# calculated density: 11.4 g/cm3
# spin magnetization: 0.2521 μB/atom
# raw total energy: -4.321 eV/atom
# distance to the lowest polymorph of the same formula: 37 meV per atom
data_PaCdAg
_space_group_name_H-M_alt 'I 4 m m'
_space_group_IT_number 107
_space_group_name_Hall 'I 4 -2'
_cell_length_a 3.095
_cell_length_b 3.095
_cell_length_c 13.680
_cell_angle_alpha 90.00
_cell_angle_beta 90.00
_cell_angle_gamma 90.00
loop_
_atom_site_label
_atom_site_fract_x
_atom_site_fract_y
_atom_site_fract_z
Pa1 0.000 0.000 0.000
Cd1 0.000 0.000 0.316
Ag1 0.000 0.000 0.672


Entry 4:
# TcNiBr2 | Alexandria | PBE | optimized geometry
# volume: 80 Å³ per cell
# calculated density: 6.5 g/cm3
# spin magnetization: 0.0001 μB/atom
# raw total energy: -4.504 eV/atom
# distance to the lowest polymorph of the same formula: 206 meV per atom
# formation energy without anion corrections: 0.370 eV per atom
data_TcNiBr2
_space_group_name_H-M_alt 'P 4 m m'
_space_group_IT_number 99
_space_group_name_Hall 'P 4 -2'
_cell_length_a 3.159
_cell_length_b 3.159
_cell_length_c 8.055
_cell_angle_alpha 90.00
_cell_angle_beta 90.00
_cell_angle_gamma 90.00
loop_
_atom_site_label
_atom_site_fract_x
_atom_site_fract_y
_atom_site_fract_z
Tc1 0.000 0.000 0.000
Ni1 0.500 0.500 0.825
Br1 0.000 0.000 0.655
Br2 0.500 0.500 0.198


Entry 5:
# Ca2MgSi2 | Alexandria | PBE | optimized geometry
# volume: 470 Å³ per cell
# calculated density: 2.3 g/cm3
# spin magnetization: 0.0000 μB/atom
# raw total energy: -3.715 eV/atom
# formation energy without anion corrections: -0.426 eV per atom
data_Ca2MgSi2
_space_group_name_H-M_alt 'C 1 2/m 1'
_space_group_IT_number 12
_space_group_name_Hall '-C 2y'
_cell_length_a 11.388
_cell_length_b 4.478
_cell_length_c 10.587
_cell_angle_alpha 90.00
_cell_angle_beta 119.55
_cell_angle_gamma 90.00
loop_
_atom_site_label
_atom_site_fract_x
_atom_site_fract_y
_atom_site_fract_z
Ca1 0.014 0.000 0.186
Ca2 0.183 0.000 0.601
Mg1 0.220 0.500 0.872
Si1 0.017 0.500 0.393
Si2 0.124 0.500 0.067


Entry 6:
# Cr2CoRe | Alexandria | PBE | optimized geometry
# calculated formation energy: 51 kJ/mol of formula units
# volume: 50 Å³ per cell
# calculated density: 11.7 g/cm3
# spin magnetization: 0.6119 μB/atom
# raw total energy: -9.569 eV/atom
data_Cr2CoRe
_space_group_name_H-M_alt 'P 4 m m'
_space_group_IT_number 99
_space_group_name_Hall 'P 4 -2'
_cell_length_a 2.915
_cell_length_b 2.915
_cell_length_c 5.845
_cell_angle_alpha 90.00
_cell_angle_beta 90.00
_cell_angle_gamma 90.00
loop_
_atom_site_label
_atom_site_fract_x
_atom_site_fract_y
_atom_site_fract_z
Cr1 0.000 0.000 0.000
Cr2 0.500 0.500 0.225
Co1 0.500 0.500 0.757
Re1 0.000 0.000 0.486


Entry 7:
# AlGa2WN | Alexandria | PBE | optimized geometry
# volume: 70 Å³ per cell
# calculated density: 8.6 g/cm3
# spin magnetization: 0.0000 μB/atom
# raw total energy: -5.742 eV/atom
# formation energy without anion corrections: 0.473 eV per atom
data_AlGa2WN
_space_group_name_H-M_alt 'P 4/m m m'
_space_group_IT_number 123
_space_group_name_Hall '-P 4 2'
_cell_length_a 4.431
_cell_length_b 4.431
_cell_length_c 3.588
_cell_angle_alpha 90.00
_cell_angle_beta 90.00
_cell_angle_gamma 90.00
loop_
_atom_site_label
_atom_site_fract_x
_atom_site_fract_y
_atom_site_fract_z
Al1 0.000 0.000 0.000
Ga1 0.000 0.500 0.500
W1 0.500 0.500 0.000
N1 0.000 0.000 0.500


Entry 8:
# TlCd2Ni | Alexandria | PBE | optimized geometry
# calculated formation energy: 35 kJ/mol of formula units
# volume: 84 Å³ per cell
# calculated density: 9.6 g/cm3
# spin magnetization: 0.0000 μB/atom
# raw total energy: -2.404 eV/atom
# distance to the lowest polymorph of the same formula: 5 meV per atom
data_TlCd2Ni
_space_group_name_H-M_alt 'P 4/m m m'
_space_group_IT_number 123
_space_group_name_Hall '-P 4 2'
_cell_length_a 3.132
_cell_length_b 3.132
_cell_length_c 8.611
_cell_angle_alpha 90.00
_cell_angle_beta 90.00
_cell_angle_gamma 90.00
loop_
_atom_site_label
_atom_site_fract_x
_atom_site_fract_y
_atom_site_fract_z
Tl1 0.000 0.000 0.000
Cd1 0.500 0.500 0.313
Ni1 0.000 0.000 0.500